Here is a relaxed Ga2Si2Sn crystal from Alexandria. Energies are from PBE-GGA.

Lattice parameters (Å, degrees): 4.386 4.386 6.064 68.80 68.80 90.00
Fractional coordinates of all 5 atoms:
Si: 0.250 0.750 0.500
Ga: 0.381 0.381 0.238
Ga: 0.619 0.619 0.762
Sn: 0.000 0.000 0.000
Si: 0.750 0.250 0.500

Calculated values
density of states at the Fermi level = 2.66 states/eV per cell
raw formation energy = 1.5 eV/f.u.
space-group type = I4/mmm (139)